Sr2ZnP: optimized geometry, PBE.

The space group is P4/mmm (No. 123) and the conventional cell measures 3.871, 3.871 and 7.398 Å, with angles of 90.00, 90.00 and 90.00 degrees. The distinct sites, in fractional coordinates, are Sr at (0.000, 0.000, 0.219), Zn at (0.500, 0.500, 0.500) and P at (0.500, 0.500, 0.000).

The calculation puts the total energy at -3.076 eV/atom. The density of states at the Fermi level comes out at 3.3 states/eV/cell. As for the energy above the most stable polymorph in this dataset: 88.1 meV/atom. The value obtained for the formation energy from the elements is -564 meV per atom. Its total magnetization is 0.000 μB per atom.

Li6Al: optimized geometry, PBE.

The space group is P4/mmm (No. 123) and the conventional cell measures 4.772, 4.772 and 5.974 Å, with angles of 90.00, 90.00 and 90.00 degrees. The distinct sites, in fractional coordinates, are Li at (0.000, 0.000, 0.000), Li at (0.000, 0.500, 0.245), Li at (0.500, 0.500, 0.500) and Al at (0.500, 0.500, 0.000).

The calculation puts the total energy at -2.167 eV/atom. The density of states at the Fermi level comes out at 2.2 states/eV/cell. As for the energy above the most stable polymorph in this dataset: 57.6 meV/atom. The value obtained for the formation energy from the elements is 8 meV per atom. Its total magnetization is 0.000 μB per atom.

SrFeS3: optimized geometry, PBE.

The space group is Pm-3m (No. 221) and the conventional cell measures 4.640, 4.640 and 4.640 Å, with angles of 90.00, 90.00 and 90.00 degrees. The distinct sites, in fractional coordinates, are Sr at (0.000, 0.000, 0.000), Fe at (0.500, 0.500, 0.500) and S at (0.000, 0.500, 0.500).

The calculation puts the total energy at -5.309 eV/atom. The density of states at the Fermi level comes out at 3.8 states/eV/cell. The calculation puts the uncorrected formation energy at -804 meV/atom. Its total magnetization is 0.719 μB per atom.

NpHgBi2O8: optimized geometry, PBE.

The space group is P2/m (No. 10) and the conventional cell measures 5.074, 7.395 and 5.075 Å, with angles of 90.00, 92.37 and 90.00 degrees. The distinct sites, in fractional coordinates, are Np at (0.000, 0.000, 0.000), Hg at (0.000, 0.500, 0.000), Bi at (0.500, 0.251, 0.500), O at (0.188, 0.197, 0.814), O at (0.298, 0.000, 0.299) and O at (0.301, 0.500, 0.302).

The calculation puts the total energy at -6.535 eV/atom. The density of states at the Fermi level comes out at 2.3 states/eV/cell. The calculation puts the uncorrected formation energy at -1479 meV/atom. Its total magnetization is 0.000 μB per atom.

DyZnCu2Au4: optimized geometry, PBE.

The space group is R-3m (No. 166, hexagonal axes) and the conventional cell measures 4.6370, 4.6370 and 22.5604 Å, with angles of 90.00, 90.00 and 120.00 degrees. The distinct sites, in fractional coordinates, are Dy at (0.0000, 0.0000, 0.0000), Zn at (0.0000, 0.0000, 0.5000), Cu at (0.0000, 0.0000, 0.2559), Au at (0.0000, 0.0000, 0.1330) and Au at (0.0000, 0.0000, 0.3861).

The calculation puts the total energy at -3.717 eV/atom. The density of states at the Fermi level comes out at 9.4 states/eV/cell. The value obtained for the formation energy from the elements is -319 meV per atom. Its total magnetization is 0.000 μB per atom.

RbTiGa: optimized geometry, PBE.

The space group is P1 (No. 1) and the conventional cell measures 4.397, 4.489 and 12.326 Å, with angles of 93.60, 96.84 and 119.30 degrees. The distinct sites, in fractional coordinates, are Rb at (0.000, 0.000, 0.000), Rb at (0.345, 0.274, 0.624), Ti at (0.151, 0.096, 0.312), Ti at (0.842, 0.478, 0.312), Ga at (0.440, 0.743, 0.208) and Ga at (0.555, 0.834, 0.416).

The calculation puts the total energy at -3.907 eV/atom. The density of states at the Fermi level comes out at 2.6 states/eV/cell. As for the energy above the most stable polymorph in this dataset: 52.1 meV/atom. The value obtained for the formation energy from the elements is 56 meV per atom. Its total magnetization is 0.000 μB per atom.

SrLiHg2Pb: optimized geometry, PBE.

The space group is Pmma (No. 51) and the conventional cell measures 6.044, 7.089 and 6.377 Å, with angles of 90.00, 90.00 and 90.00 degrees. The distinct sites, in fractional coordinates, are Sr at (0.250, 0.000, 0.246), Li at (0.000, 0.500, 0.000), Hg at (0.250, 0.224, 0.777) and Pb at (0.250, 0.500, 0.394).

The calculation puts the total energy at -1.940 eV/atom. The density of states at the Fermi level comes out at 4.3 states/eV/cell. As for the energy above the most stable polymorph in this dataset: 0.0 meV/atom. The value obtained for the formation energy from the elements is -358 meV per atom. Its total magnetization is 0.000 μB per atom.

Er2BiP: optimized geometry, PBE.

The space group is R-3m (No. 166, hexagonal axes) and the conventional cell measures 4.1303, 4.1303 and 21.2166 Å, with angles of 90.00, 90.00 and 120.00 degrees. The distinct sites, in fractional coordinates, are Er at (0.0000, 0.0000, 0.2386), Bi at (0.0000, 0.0000, 0.0000) and P at (0.0000, 0.0000, 0.5000).

The calculation puts the total energy at -5.774 eV/atom. The density of states at the Fermi level comes out at 2.8 states/eV/cell. The value obtained for the formation energy from the elements is -1170 meV per atom. Its total magnetization is 0.000 μB per atom.